Crystalline RbLiPCl2 at its relaxed geometry, computed with PBE.

Cell: 5.157 5.157 5.134 Å, 90.00 90.00 90.00°
Atoms (fractional coordinates):
Rb 0.000 0.000 0.000
Li 0.500 0.500 0.500
P 0.500 0.500 0.000
Cl 0.000 0.500 0.500
Cl 0.500 0.000 0.500

Properties
**Space group**: P4/mmm (123)
**Magnetization**: 3.00 Bohr magnetons per cell
**Uncorrected energy**: -3.080 eV per atom